Here is a geometry-optimized Cs3Ce2HgTe6 structure from the Alexandria database. Energies are from PBE-GGA.

Cell: 8.3578 8.3578 9.1484 Å, 97.42 97.42 123.48°
Fractional positions:
Cs1 0.1539 0.8461 0.5000
Cs2 0.5000 0.5000 0.5000
Cs3 0.8461 0.1539 0.5000
Hg1 0.0000 0.0000 0.0000
Ce1 0.3257 0.6743 0.0000
Ce2 0.6743 0.3257 0.0000
Te1 0.0661 0.4307 0.2055
Te2 0.4307 0.0661 0.2055
Te3 0.5693 0.9339 0.7945
Te4 0.7458 0.7458 0.1606
Te5 0.2542 0.2542 0.8394
Te6 0.9339 0.5693 0.7945

Output
space group	C2/m (12)
final energy	-46.0	eV per formula unit


Here is a geometry-optimized Cs2CeHoO4 structure from the Alexandria database. Energies are from PBE-GGA.

Cell: 3.6199 6.2558 7.2477 Å, 106.61 90.00 90.00°
Fractional positions:
O1 0.5000 0.7859 0.8402
O2 0.5000 0.2141 0.1598
O3 0.0000 0.2729 0.8395
O4 0.0000 0.7271 0.1605
Cs1 0.0000 0.5000 0.5000
Cs2 0.5000 0.0000 0.5000
Ho1 0.0000 0.0000 0.0000
Ce1 0.5000 0.5000 0.0000

Output
space group	P2/m (10)
final energy	-52.6	eV per formula unit


Question: final energy of number 2 (Cs2CeHoO4)?
Answer: -52.6 eV per formula unit


Question: Among the records above, which one has the lowest final energy?
Answer: Cs2CeHoO4


Question: What is the final energy in the second record?
Answer: -52.6 eV per formula unit